(1)
Here is Ba3NaSrSb3O12 after structural relaxation from Alexandria. Energies are from PBE.

Values from the calculation:
total DFT energy (no corrections)	-245.92	eV for the cell shown
formation energy without anion corrections	-2.116	eV per atom

a = 8.3669 Å, b = 8.3669 Å, c = 8.3645 Å
α = 90.00°, β = 90.00°, γ = 90.36°
Last column: nearest neighbours and their distance in Å.
Sites, in units of the cell vectors:
Ba1 0.5000 0.5000 0.5000  12 O 2.95-2.97
Ba2 0.0000 0.0000 0.5000  12 O 2.95-2.97
Ba3 0.5000 0.0000 0.0000  12 O 2.94-2.97
Ba4 0.0000 0.5000 0.0000  12 O 2.94-2.97
Ba5 0.0000 0.5000 0.5000  12 O 2.96-3.00
Ba6 0.5000 0.0000 0.5000  12 O 2.96-3.00
Na1 0.7500 0.2500 0.7497  6 O 2.25-2.29
Na2 0.2500 0.7500 0.2503  6 O 2.25-2.29
Sr1 0.5000 0.5000 0.0000  12 O 2.92-2.97
Sr2 0.0000 0.0000 0.0000  12 O 2.92-2.97
Sb1 0.7500 0.2500 0.2469  6 O 1.91-2.09
Sb2 0.2500 0.7500 0.7531  6 O 1.91-2.09
Sb3 0.2500 0.2500 0.7522  6 O 1.91-2.11
Sb4 0.7500 0.7500 0.2478  6 O 1.91-2.11
Sb5 0.7500 0.7500 0.7522  6 O 1.91-2.11
Sb6 0.2500 0.2500 0.2478  6 O 1.91-2.11
O1 0.2517 0.5000 0.7545  2 Sb 2.09
O2 0.2483 0.0000 0.7545  2 Sb 2.09
O3 0.7517 0.0000 0.2455  2 Sb 2.09
O4 0.7483 0.5000 0.2455  2 Sb 2.09
O5 0.0000 0.7517 0.7545  2 Sb 2.09
O6 0.5000 0.7483 0.7545  2 Sb 2.09
O7 0.5000 0.2517 0.2455  2 Sb 2.09
O8 0.0000 0.2483 0.2455  2 Sb 2.09
O9 0.7500 0.2500 0.4762  1 Sb 1.92
O10 0.2500 0.7500 0.9814  1 Sb 1.91
O11 0.7500 0.2500 0.0186  1 Sb 1.91
O12 0.2500 0.7500 0.5238  1 Sb 1.92
O13 0.2500 0.2500 0.5000  2 Sb 2.11
O14 0.7500 0.7500 0.0000  2 Sb 2.07
O15 0.7500 0.7500 0.5000  2 Sb 2.11
O16 0.2500 0.2500 0.0000  2 Sb 2.07
O17 0.7467 0.5212 0.7529  1 Sb 1.91
O18 0.7533 0.9788 0.7529  1 Sb 1.91
O19 0.2467 0.0212 0.2471  1 Sb 1.91
O20 0.2533 0.4788 0.2471  1 Sb 1.91
O21 0.0212 0.2467 0.7529  1 Sb 1.91
O22 0.4788 0.2533 0.7529  1 Sb 1.91
O23 0.5212 0.7467 0.2471  1 Sb 1.91
O24 0.9788 0.7533 0.2471  1 Sb 1.91


(2)
Here is SmFeRu after structural relaxation from Alexandria. Energies are from PBE.

Values from the calculation:
total DFT energy (no corrections)	-45.70	eV for the cell shown
E above lowest polymorph	0	meV per atom
formation enthalpy at 0 K	-0.131	eV per atom

a = 5.2296 Å, b = 5.3056 Å, c = 5.3056 Å
α = 61.97°, β = 60.47°, γ = 60.47°
Last column: nearest neighbours and their distance in Å.
Sites, in units of the cell vectors:
Sm1 0.8738 0.3762 0.3762  6 Fe 3.09-3.17, 6 Ru 3.10, 4 Sm 3.20-3.31
Sm2 0.1262 0.6238 0.6238  6 Fe 3.09-3.17, 6 Ru 3.10, 4 Sm 3.20-3.31
Fe1 0.0000 0.0000 0.0000  2 Fe 2.61, 4 Ru 2.65
Fe2 0.5000 0.0000 0.0000  2 Fe 2.61, 4 Ru 2.65
Ru1 0.5000 0.5000 0.0000  4 Fe 2.65, 2 Ru 2.73
Ru2 0.5000 0.0000 0.5000  4 Fe 2.65, 2 Ru 2.73


(3)
Here is Ca2Ga4Ag5 after structural relaxation from Alexandria. Energies are from PBE.

Values from the calculation:
total DFT energy (no corrections)	-32.82	eV for the cell shown
formation enthalpy at 0 K	-0.223	eV per atom

a = 5.8650 Å, b = 5.6605 Å, c = 8.7835 Å
α = 80.04°, β = 70.50°, γ = 58.80°
Last column: nearest neighbours and their distance in Å.
Sites, in units of the cell vectors:
Ca1 0.8593 0.0000 0.2814  6 Ga 3.27-3.41, 4 Ag 3.36
Ca2 0.1407 0.0000 0.7186  6 Ga 3.27-3.41, 4 Ag 3.36
Ga1 0.4838 0.2962 0.7362  5 Ag 2.61-2.81, 1 Ga 2.87
Ga2 0.5162 0.7038 0.2638  5 Ag 2.61-2.81, 1 Ga 2.87
Ga3 0.2200 0.2962 0.2638  5 Ag 2.61-2.81, 1 Ga 2.87
Ga4 0.7800 0.7038 0.7362  5 Ag 2.61-2.81, 1 Ga 2.87
Ag1 0.5000 0.0000 0.0000  4 Ga 2.61, 4 Ag 2.83
Ag2 0.0000 0.5000 0.0000  4 Ga 2.81, 4 Ag 2.83-2.93
Ag3 0.5000 0.5000 0.0000  4 Ga 2.81, 4 Ag 2.83-2.93
Ag4 0.2500 0.5000 0.5000  4 Ga 2.64, 2 Ag 2.93
Ag5 0.7500 0.5000 0.5000  4 Ga 2.64, 2 Ag 2.93


(4)
Here is Er12Tl5Hg2 after structural relaxation from Alexandria. Energies are from PBE.

Values from the calculation:
total DFT energy (no corrections)	-69.72	eV for the cell shown
formation enthalpy at 0 K	-0.133	eV per atom

a = 7.2680 Å, b = 9.2650 Å, c = 9.0410 Å
α = 83.40°, β = 90.00°, γ = 113.09°
Last column: nearest neighbours and their distance in Å.
Sites, in units of the cell vectors:
Er1 0.9572 0.9144 0.1911  2 Hg 2.89, 2 Tl 2.97-3.15
Er2 0.0802 0.6805 0.9138  1 Hg 2.97, 1 Tl 3.18, 1 Er 3.27
Er3 0.6003 0.6805 0.9138  1 Hg 2.97, 1 Tl 3.18, 1 Er 3.27
Er4 0.1077 0.7018 0.5057  4 Tl 3.15-3.37, 2 Er 3.46-3.49
Er5 0.5941 0.7018 0.5057  4 Tl 3.15-3.37, 2 Er 3.46-3.49
Er6 0.4928 0.9855 0.6903  2 Hg 3.13, 3 Er 3.42-3.49
Er7 0.5072 0.0145 0.3097  2 Hg 3.13, 3 Er 3.42-3.49
Er8 0.8923 0.2982 0.4943  4 Tl 3.15-3.37, 2 Er 3.46-3.49
Er9 0.4059 0.2982 0.4943  4 Tl 3.15-3.37, 2 Er 3.46-3.49
Er10 0.9198 0.3195 0.0862  1 Hg 2.97, 1 Tl 3.18, 1 Er 3.27
Er11 0.3997 0.3195 0.0862  1 Hg 2.97, 1 Tl 3.18, 1 Er 3.27
Er12 0.0428 0.0856 0.8089  2 Hg 2.89, 2 Tl 2.97-3.15
Tl1 0.2291 0.4581 0.7478  7 Er 3.15-3.37
Tl2 0.3018 0.6035 0.2327  6 Er 3.23-3.44
Tl3 0.0000 0.0000 0.5000  6 Er 2.97-3.15
Tl4 0.6982 0.3965 0.7673  6 Er 3.23-3.44
Tl5 0.7709 0.5419 0.2522  7 Er 3.15-3.37
Hg1 0.6873 0.0000 0.0000  1 Hg 2.72, 4 Er 2.89-2.97
Hg2 0.3127 0.0000 0.0000  1 Hg 2.72, 4 Er 2.89-2.97


Number 1: DOS(E_F) 0.00 states/eV/cell. Number 2: DOS(E_F) 6.59 states/eV/cell. Number 3: DOS(E_F) 4.18 states/eV/cell. Number 4: DOS(E_F) 17.96 states/eV/cell.